No. 1
# Sr2LaW (PBE, optimized geometry)
# * total DFT energy (no corrections): -4.62 eV/atom
# * calculated density: 5.920 g/cm3
# * E above lowest polymorph: 0.000 eV/atom
# * crystal system: tetragonal
# * D(E_F): 1.2041 states/eV/atom
# * spin magnetization: 0.00 μB per formula unit
data_Sr2LaW
_cell_length_a 3.803
_cell_length_b 3.803
_cell_length_c 9.659
_cell_angle_alpha 90.00
_cell_angle_beta 90.00
_cell_angle_gamma 90.00
_symmetry_space_group_name_H-M 'P 4 m m'
_symmetry_Int_Tables_number 99
_symmetry_space_group_name_Hall 'P 4 -2'
loop_
_atom_site_label
_atom_site_type_symbol
_atom_site_fract_x
_atom_site_fract_y
_atom_site_fract_z
_atom_site_occupancy
Sr1 Sr 0.000 0.000 0.000 1
Sr2 Sr 0.500 0.500 0.348 1
La1 La 0.500 0.500 0.706 1
W1 W 0.000 0.000 0.567 1

***

No. 2
# Sr2LaW2 (PBE, optimized geometry)
# * total DFT energy (no corrections): -5.70 eV/atom
# * calculated density: 7.128 g/cm3
# * crystal system: tetragonal
# * D(E_F): 2.0794 states/eV/atom
# * spin magnetization: 0.00 μB per formula unit
data_Sr2LaW2
_cell_length_a 4.758
_cell_length_b 4.758
_cell_length_c 14.034
_cell_angle_alpha 90.00
_cell_angle_beta 90.00
_cell_angle_gamma 90.00
_symmetry_space_group_name_H-M 'I 4/m m m'
_symmetry_Int_Tables_number 139
_symmetry_space_group_name_Hall '-I 4 2'
loop_
_atom_site_label
_atom_site_type_symbol
_atom_site_fract_x
_atom_site_fract_y
_atom_site_fract_z
_atom_site_occupancy
Sr1 Sr 0.000 0.500 0.250 1
La1 La 0.000 0.000 0.000 1
W1 W 0.000 0.000 0.421 1

***

No. 3
# Sr2LaW (PBE, optimized geometry)
# * total DFT energy (no corrections): -4.33 eV/atom
# * calculated density: 6.526 g/cm3
# * E above lowest polymorph: 0.293 eV/atom
# * crystal system: orthorhombic
# * D(E_F): 1.4027 states/eV/atom
# * spin magnetization: 0.00 μB per formula unit
data_Sr2LaW
_cell_length_a 4.624
_cell_length_b 4.681
_cell_length_c 11.709
_cell_angle_alpha 90.00
_cell_angle_beta 90.00
_cell_angle_gamma 90.00
_symmetry_space_group_name_H-M 'C m m m'
_symmetry_Int_Tables_number 65
_symmetry_space_group_name_Hall '-C 2 2'
loop_
_atom_site_label
_atom_site_type_symbol
_atom_site_fract_x
_atom_site_fract_y
_atom_site_fract_z
_atom_site_occupancy
Sr1 Sr 0.000 0.000 0.203 1
La1 La 0.000 0.500 0.500 1
W1 W 0.000 0.500 0.000 1

***

No. 4
# Sr2LaW (PBE, optimized geometry)
# * total DFT energy (no corrections): -4.26 eV/atom
# * calculated density: 6.762 g/cm3
# * E above lowest polymorph: 0.360 eV/atom
# * crystal system: monoclinic
# * D(E_F): 1.4575 states/eV/atom
# * spin magnetization: 0.82 μB per formula unit
data_Sr2LaW
_cell_length_a 3.302
_cell_length_b 5.460
_cell_length_c 6.783
_cell_angle_alpha 90.00
_cell_angle_beta 90.24
_cell_angle_gamma 90.00
_symmetry_space_group_name_H-M 'P 1 2/m 1'
_symmetry_Int_Tables_number 10
_symmetry_space_group_name_Hall '-P 2y'
loop_
_atom_site_label
_atom_site_type_symbol
_atom_site_fract_x
_atom_site_fract_y
_atom_site_fract_z
_atom_site_occupancy
Sr1 Sr 0.001 0.000 0.272 1
La1 La 0.500 0.500 0.000 1
W1 W 0.500 0.500 0.500 1